# 1
## NaHg2Pb7 (GGA-PBE)

Data for NaHg2Pb7 after structural relaxation.

Its energy of formation is 0.0769 eV/atom. The value obtained for the calculated total energy is -2.71 eV/atom. Its volume is 332 Å³ per cell.

Cell and atoms, written as CIF:
```
data_NaHg2Pb7
_chemical_formula_sum 'Na1 Hg2 Pb7'
_symmetry_space_group_name_H-M 'P 1'
_symmetry_Int_Tables_number 1
_symmetry_space_group_name_Hall 'P 1'
_cell_length_a 10.787
_cell_length_b 10.787
_cell_length_c 3.376
_cell_angle_alpha 90.00
_cell_angle_beta 90.00
_cell_angle_gamma 122.45
loop_
_atom_site_label
_atom_site_type_symbol
_atom_site_fract_x
_atom_site_fract_y
_atom_site_fract_z
Na1 Na 0.000 0.000 0.000
Hg1 Hg 0.333 0.667 0.500
Hg2 Hg 0.667 0.333 0.500
Pb1 Pb 0.131 0.319 0.500
Pb2 Pb 0.189 0.811 0.000
Pb3 Pb 0.319 0.131 0.500
Pb4 Pb 0.500 0.500 0.500
Pb5 Pb 0.681 0.869 0.500
Pb6 Pb 0.811 0.189 0.000
Pb7 Pb 0.869 0.681 0.500
```

# 2
## Na3HgPb2 (GGA-PBE)

Data for Na3HgPb2 after structural relaxation.

Its energy of formation is -0.1615 eV/atom. The value obtained for the calculated total energy is -2.11 eV/atom. Its volume is 331 Å³ per cell.

Cell and atoms, written as CIF:
```
data_Na3HgPb2
_chemical_formula_sum 'Na6 Hg2 Pb4'
_symmetry_space_group_name_H-M 'P 1'
_symmetry_Int_Tables_number 1
_symmetry_space_group_name_Hall 'P 1'
_cell_length_a 7.394
_cell_length_b 7.394
_cell_length_c 9.600
_cell_angle_alpha 90.00
_cell_angle_beta 90.00
_cell_angle_gamma 140.86
loop_
_atom_site_label
_atom_site_type_symbol
_atom_site_fract_x
_atom_site_fract_y
_atom_site_fract_z
Na1 Na 0.000 0.000 0.246
Na2 Na 0.000 0.000 0.754
Na3 Na 0.332 0.668 0.243
Na4 Na 0.332 0.668 0.757
Na5 Na 0.668 0.332 0.243
Na6 Na 0.668 0.332 0.757
Hg1 Hg 0.165 0.835 0.000
Hg2 Hg 0.835 0.165 0.000
Pb1 Pb 0.166 0.834 0.500
Pb2 Pb 0.500 0.500 0.000
Pb3 Pb 0.500 0.500 0.500
Pb4 Pb 0.834 0.166 0.500
```

# 3
## Na5Hg2Pb2 (GGA-PBE)

Data for Na5Hg2Pb2 after structural relaxation.

Its energy of formation is -0.1647 eV/atom. The value obtained for the calculated total energy is -1.79 eV/atom. For the offset from the most stable computed form, the calculation gives 0 meV per atom. Its volume is 252 Å³ per cell.

Cell and atoms, written as CIF:
```
data_Na5Hg2Pb2
_chemical_formula_sum 'Na5 Hg2 Pb2'
_symmetry_space_group_name_H-M 'P 1'
_symmetry_Int_Tables_number 1
_symmetry_space_group_name_Hall 'P 1'
_cell_length_a 6.090
_cell_length_b 6.090
_cell_length_c 8.664
_cell_angle_alpha 102.20
_cell_angle_beta 102.20
_cell_angle_gamma 53.68
loop_
_atom_site_label
_atom_site_type_symbol
_atom_site_fract_x
_atom_site_fract_y
_atom_site_fract_z
Na1 Na 0.000 0.000 0.000
Na2 Na 0.116 0.116 0.679
Na3 Na 0.445 0.445 0.692
Na4 Na 0.555 0.555 0.308
Na5 Na 0.884 0.884 0.321
Hg1 Hg 0.325 0.325 0.017
Hg2 Hg 0.675 0.675 0.983
Pb1 Pb 0.226 0.226 0.357
Pb2 Pb 0.774 0.774 0.643
```

# 4
## Na6HgPb (GGA-PBE)

Data for Na6HgPb after structural relaxation.

Its energy of formation is -0.1300 eV/atom. The value obtained for the calculated total energy is -1.62 eV/atom. For the offset from the most stable computed form, the calculation gives 0 meV per atom. Its volume is 238 Å³ per cell.

Cell and atoms, written as CIF:
```
data_Na6HgPb
_chemical_formula_sum 'Na6 Hg1 Pb1'
_symmetry_space_group_name_H-M 'P 1'
_symmetry_Int_Tables_number 1
_symmetry_space_group_name_Hall 'P 1'
_cell_length_a 6.178
_cell_length_b 6.184
_cell_length_c 6.225
_cell_angle_alpha 90.66
_cell_angle_beta 90.67
_cell_angle_gamma 90.34
loop_
_atom_site_label
_atom_site_type_symbol
_atom_site_fract_x
_atom_site_fract_y
_atom_site_fract_z
Na1 Na 0.002 0.001 0.248
Na2 Na 0.253 0.499 0.998
Na3 Na 0.498 0.247 0.502
Na4 Na 0.502 0.753 0.498
Na5 Na 0.747 0.501 0.002
Na6 Na 0.998 0.999 0.752
Hg1 Hg 0.000 0.500 0.500
Pb1 Pb 0.500 0.000 0.000
```

# 5
## NaHg2Pb (GGA-PBE)

Data for NaHg2Pb after structural relaxation.

Its energy of formation is -0.1291 eV/atom. The value obtained for the calculated total energy is -1.54 eV/atom. Its volume is 107 Å³ per cell.

Cell and atoms, written as CIF:
```
data_NaHg2Pb
_chemical_formula_sum 'Na1 Hg2 Pb1'
_symmetry_space_group_name_H-M 'P 1'
_symmetry_Int_Tables_number 1
_symmetry_space_group_name_Hall 'P 1'
_cell_length_a 5.014
_cell_length_b 5.014
_cell_length_c 4.241
_cell_angle_alpha 90.00
_cell_angle_beta 90.00
_cell_angle_gamma 90.00
loop_
_atom_site_label
_atom_site_type_symbol
_atom_site_fract_x
_atom_site_fract_y
_atom_site_fract_z
Na1 Na 0.000 0.000 0.000
Hg1 Hg 0.000 0.500 0.500
Hg2 Hg 0.500 0.000 0.500
Pb1 Pb 0.500 0.500 0.000
```

# 6
## Na2Hg7Pb2 (GGA-PBE)

Data for Na2Hg7Pb2 after structural relaxation.

Its energy of formation is -0.0694 eV/atom. The value obtained for the calculated total energy is -1.18 eV/atom. For the offset from the most stable computed form, the calculation gives 10 meV per atom. Its volume is 309 Å³ per cell.

Cell and atoms, written as CIF:
```
data_Na2Hg7Pb2
_chemical_formula_sum 'Na2 Hg7 Pb2'
_symmetry_space_group_name_H-M 'P 1'
_symmetry_Int_Tables_number 1
_symmetry_space_group_name_Hall 'P 1'
_cell_length_a 9.904
_cell_length_b 9.904
_cell_length_c 9.904
_cell_angle_alpha 159.08
_cell_angle_beta 67.90
_cell_angle_gamma 116.24
loop_
_atom_site_label
_atom_site_type_symbol
_atom_site_fract_x
_atom_site_fract_y
_atom_site_fract_z
Na1 Na 0.198 0.000 0.198
Na2 Na 0.802 0.000 0.802
Hg1 Hg 0.065 0.748 0.318
Hg2 Hg 0.071 0.071 0.000
Hg3 Hg 0.380 0.506 0.874
Hg4 Hg 0.430 0.748 0.682
Hg5 Hg 0.591 0.254 0.338
Hg6 Hg 0.633 0.506 0.126
Hg7 Hg 0.916 0.254 0.662
Pb1 Pb 0.330 0.830 0.500
Pb2 Pb 0.779 0.779 0.000
```